# Pu2CrO11

A geometry-optimized Pu2CrO11 structure (GGA+U, Alexandria).

abc: 8.888 7.544 10.015
angles: 74.83 58.84 55.86
Last column: magnetic moment on the atom in μB.
Positions (direct):
O 0.580 0.342 0.783  0.13
O 0.122 0.183 0.787  0.36
O 0.265 0.772 0.030  -0.12
O 0.434 0.644 0.345  0.43
O 0.830 0.873 0.241  0.11
O 0.909 0.425 0.280  -0.09
O 0.814 0.564 0.771  -0.09
O 0.910 0.881 0.733  -0.08
O 0.580 0.978 0.703  -0.06
O 0.404 0.365 0.596  -0.12
O 0.335 0.077 0.285  -0.15
O 0.992 0.706 0.468  -0.05
O 0.732 0.734 0.086  0.09
O 0.974 0.229 0.571  0.08
O 0.146 0.538 0.880  -0.12
O 0.075 0.016 0.275  -0.08
O 0.466 0.559 0.228  0.45
O 0.735 0.206 0.983  0.08
O 0.212 0.460 0.196  -0.09
O 0.165 0.989 0.773  0.47
O 0.546 0.792 0.490  0.08
O 0.297 0.164 0.009  -0.05
Pu 0.131 0.742 0.237  1.59
Pu 0.356 0.274 0.793  1.53
Pu 0.845 0.221 0.777  -1.42
Pu 0.651 0.767 0.285  -1.53
Cr 0.160 0.225 0.219  1.26
Cr 0.834 0.770 0.677  1.06

SG: P1 (1)
E_tot, eV/atom: -8.070